This record from the Alexandria database describes a relaxed structure of TiGa4Tc. The functional is PBE.

Computed properties:
As for the space-group type: Cmmm (65). The calculation puts the total magnetic moment at 0.00 Bohr magnetons per cell. The calculation puts the total energy at -31.5 eV/f.u. As for the calculated density: 7.7 g cm⁻³.

Unit cell a=4.436 b=7.727 c=5.334 alpha=90.00 beta=90.00 gamma=90.00
Fractional coordinates of all 12 atoms:
Ti 0.000 0.000 0.000
Ti 0.500 0.500 0.000
Ga 0.000 0.334 0.256
Ga 0.000 0.334 0.744
Ga 0.000 0.666 0.256
Ga 0.000 0.666 0.744
Ga 0.500 0.166 0.256
Ga 0.500 0.166 0.744
Ga 0.500 0.834 0.256
Ga 0.500 0.834 0.744
Tc 0.000 0.000 0.500
Tc 0.500 0.500 0.500